## TaAl3F (PBE)

Data for crystalline TaAl3F at its relaxed geometry.

Unit cell a=5.1719 b=5.1719 c=5.1719 alpha=90.00 beta=90.00 gamma=90.00
Closest atoms and distances in Å follow each position.
Positions (direct):
1 Ta 0.0000 0.0000 0.0000  6 Al 2.59
2 Al 0.0000 0.0000 0.5000  2 Ta 2.59
3 Al 0.0000 0.5000 0.0000  2 Ta 2.59
4 Al 0.5000 0.0000 0.0000  2 Ta 2.59
5 F 0.5000 0.5000 0.5000  12 Al 3.66

Computed properties:
formation energy from raw total energies: 0.73 eV/atom
relative energy among the computed polymorphs: 1.083 eV per atom
total magnetic moment: 0.6102 μB per atom